# 1
DFT (PBE) results for a geometry-optimized NdPuO2 structure.

Cell lengths 3.0715, 3.0715, 6.2471 Å; angles 90.00, 90.00, 90.00 degrees
Last column: nearest neighbours and their distance in Å.
Fractional coordinates of all 4 atoms:
Nd: 0.5000 0.5000 0.5000  8 O 2.65
O: 0.0000 0.0000 0.2566  4 Nd 2.65, 4 Pu 2.70
O: 0.0000 0.0000 0.7434  4 Nd 2.65, 4 Pu 2.70
Pu: 0.5000 0.5000 0.0000  8 O 2.70

Results
* raw formation energy: -2030.5 meV per atom
* DOS at the Fermi energy: 5.53 states/eV per cell
* space group: P4/mmm (123)
* energy relative to the lowest polymorph listed for this composition: 576 meV/atom



# 2
DFT (PBE) results for a geometry-optimized CsPrMn2S4 structure.

Cell lengths 6.8693, 7.0095, 7.0095 Å; angles 72.24, 60.66, 60.66 degrees
Last column: nearest neighbours and their distance in Å.
Fractional coordinates of all 8 atoms:
S: 0.9444 0.4785 0.1617  1 Mn 2.18
Cs: 0.0000 0.0000 0.0000  8 S 3.63-3.65
S: 0.0556 0.8383 0.5215  1 Mn 2.18
S: 0.4154 0.1617 0.4785  1 Mn 2.18
Mn: 0.8914 0.6086 0.6086  1 Mn 1.95, 2 S 2.18
Mn: 0.1086 0.3914 0.3914  1 Mn 1.95, 2 S 2.18
Pr: 0.5000 0.5000 0.5000  4 S 2.76
S: 0.5846 0.5215 0.8383  1 Mn 2.18

Results
* raw formation energy: -716.7 meV per atom
* space group: I222 (23)



# 3
DFT (PBE) results for a geometry-optimized K2ReSb structure.

Cell lengths 4.2592, 4.2593, 5.7173 Å; angles 90.00, 90.00, 90.00 degrees
Last column: nearest neighbours and their distance in Å.
Fractional coordinates of all 4 atoms:
K: 0.0000 0.0000 0.0000  4 K 3.01
Sb: 0.0000 0.5000 0.5000  4 Re 3.01
K: 0.5000 0.5000 0.0000  4 K 3.01
Re: 0.5000 0.0000 0.5000  4 Sb 3.01

Results
* raw formation energy: 967.3 meV per atom
* DOS at the Fermi energy: 3.09 states/eV per cell
* space group: P4/mmm (123)



# 4
DFT (PBE) results for a geometry-optimized Ca2CuBr structure.

Cell lengths 5.4841, 5.4841, 5.4841 Å; angles 125.36, 125.36, 80.95 degrees
Last column: nearest neighbours and their distance in Å.
Fractional coordinates of all 4 atoms:
Cu: 0.2500 0.7500 0.5000  8 Ca 3.27, 4 Br 3.56
Ca: 0.0000 0.0000 0.0000  4 Cu 3.27, 4 Br 3.27, 4 Ca 3.56
Br: 0.7500 0.2500 0.5000  8 Ca 3.27, 4 Cu 3.56
Ca: 0.5000 0.5000 0.0000  4 Br 3.27, 4 Cu 3.27, 4 Ca 3.56

Results
* raw formation energy: -442.4 meV per atom
* DOS at the Fermi energy: 2.35 states/eV per cell
* space group: I4/mmm (139)
* energy relative to the lowest polymorph listed for this composition: 279 meV/atom



Question: raw formation energy of number 1 (NdPuO2)?
Answer: -2030.5 meV per atom



Question: Which formula does entry 3 have?
Answer: K2ReSb



Question: The lowest raw formation energy belongs to which entry?
Answer: NdPuO2



Question: Which of these has the lowest raw formation energy?
Answer: NdPuO2